[1]
Below is crystalline Mg3Si4 at its relaxed geometry, with properties calculated at the PBE level.

The structure belongs to space group P-1 (No. 2); the cell edges are 5.2810, 6.7699 and 8.4815 Å and the angles 112.86°, 93.07° and 106.18°. The inequivalent atoms are Mg at (0.1988, 0.4065, 0.3788), Mg at (0.2758, 0.0625, 0.6011), Mg at (0.2796, 0.1248, 0.9787), Si at (0.2150, 0.9594, 0.2518), Si at (0.2455, 0.4688, 0.8311), Si at (0.2528, 0.5840, 0.1359) and Si at (0.3538, 0.7426, 0.7072).

The energy above the most stable polymorph in this dataset comes out at 0.029 eV/atom. As for the uncorrected formation energy: 0.082 eV per atom.

=====

[2]
Below is crystalline TlInOs2 at its relaxed geometry, with properties calculated at the PBE level.

The structure belongs to space group P4/mmm (No. 123); the cell edges are 4.6416, 4.6416 and 3.2670 Å and the angles 90.00°, 90.00° and 90.00°. The inequivalent atoms are Tl at (0.0000, 0.0000, 0.0000), In at (0.5000, 0.5000, 0.0000) and Os at (0.0000, 0.5000, 0.5000).

The formation energy comes out at 0.9487 eV per atom. The energy above the most stable polymorph in this dataset comes out at 0.532 eV/atom.

=====

[3]
Below is crystalline Sm8Cu2Ni at its relaxed geometry, with properties calculated at the PBE level.

The structure belongs to space group C2/m (No. 12); the cell edges are 17.5780, 5.1228 and 6.7823 Å and the angles 90.00°, 103.42° and 90.00°. The inequivalent atoms are Sm at (0.0317, 0.0000, 0.2860), Sm at (0.0886, 0.5000, 0.9444), Sm at (0.1636, 0.5000, 0.4744), Sm at (0.2005, 0.0000, 0.8338), Cu at (0.1897, 0.0000, 0.2406) and Ni at (0.0000, 0.5000, 0.5000).

The formation energy comes out at -0.0882 eV per atom. The energy above the most stable polymorph in this dataset comes out at 0.000 eV/atom.

=====

[4]
Below is crystalline LiU2PN5 at its relaxed geometry, with properties calculated at the PBE level.

The structure belongs to space group P4/mbm (No. 127); the cell edges are 6.5088, 6.5088 and 5.2282 Å and the angles 90.00°, 90.00° and 90.00°. The inequivalent atoms are Li at (0.0000, 0.0000, 0.0000), U at (0.1818, 0.3182, 0.5000), P at (0.0000, 0.5000, 0.0000), N at (0.0000, 0.0000, 0.5000) and N at (0.1318, 0.6318, 0.2399).

As for the uncorrected formation energy: -0.699 eV per atom.